A relaxed structure of La2NiMo. Source: the Alexandria database, functional PBE.

**Symmetry**: I-4m2, No. 119
**Raw total energy**: -6.215 eV/atom
**Energy above the lowest structure with this stoichiometry**: 0.285 eV per atom
**Spin magnetization**: 0.0 μB/f.u.
**Energy relative to the elements**: 0.4019 eV per atom

Cell lengths 5.822, 5.822, 5.822 Å; angles 137.62, 137.62, 61.48 degrees
Sites, in units of the cell vectors:
La 0.000 0.000 0.000
La 0.250 0.750 0.500
Mo 0.500 0.500 0.000
Ni 0.750 0.250 0.500


A relaxed structure of LaNiMo. Source: the Alexandria database, functional PBE.

**Symmetry**: I4mm, No. 107
**Raw total energy**: -6.902 eV/atom
**Energy above the lowest structure with this stoichiometry**: 0.041 eV per atom
**Spin magnetization**: 0.0 μB/f.u.
**Energy relative to the elements**: 0.2783 eV per atom

Cell lengths 6.355, 6.355, 3.125 Å; angles 75.76, 75.77, 28.47 degrees
Sites, in units of the cell vectors:
La 0.003 0.003 0.997
Mo 0.300 0.300 0.700
Ni 0.697 0.697 0.303


A relaxed structure of LaNiMo3. Source: the Alexandria database, functional PBE.

**Symmetry**: Pm-3m, No. 221
**Raw total energy**: -7.567 eV/atom
**Energy above the lowest structure with this stoichiometry**: 0.000 eV per atom
**Spin magnetization**: 0.1 μB/f.u.
**Energy relative to the elements**: 1.0734 eV per atom

Cell lengths 4.669, 4.669, 4.669 Å; angles 90.00, 90.00, 90.00 degrees
Site moments in Bohr magnetons follow the coordinates.
Sites, in units of the cell vectors:
Ni 0.000 0.000 0.000  -0.07
Mo 0.000 0.500 0.000  0.00
Mo 0.000 0.000 0.500  -0.02
Mo 0.500 0.000 0.000  0.00
La 0.500 0.500 0.500  0.00